Computed, not measured: Sr2C3N6 after structural relaxation at the PBE level of DFT.

Results
* D(E_F): 3.11 states/eV per cell
* crystal system: monoclinic
* final energy: -7.70 eV/atom

a b c (Å): 7.9875 7.9875 5.6481
angles (deg): 97.54 97.54 30.01
Sites, in units of the cell vectors:
Sr (0.1383, 0.1383, 0.0571)
Sr (0.8617, 0.8617, 0.9429)
C (0.0000, 0.0000, 0.5000)
C (0.3308, 0.3308, 0.4359)
C (0.6692, 0.6692, 0.5641)
N (0.0033, 0.0033, 0.7191)
N (0.3172, 0.3172, 0.2143)
N (0.3436, 0.3436, 0.6553)
N (0.6564, 0.6564, 0.3447)
N (0.6828, 0.6828, 0.7857)
N (0.9967, 0.9967, 0.2809)